# CoBiPt | the Open Quantum Materials Database | PBE | optimized geometry
# **Relative energy among the computed polymorphs**: 174 meV/atom
data_CoBiPt
_chemical_formula_sum 'Co2 Bi2 Pt2'
_cell_length_a 4.7277
_cell_length_b 4.7277
_cell_length_c 5.7396
_cell_angle_alpha 90.00
_cell_angle_beta 90.00
_cell_angle_gamma 120.00
_space_group_name_H-M_alt 'P 63/m m c'
_space_group_IT_number 194
_space_group_name_Hall '-P 6c 2c'
loop_
_atom_site_label
_atom_site_type_symbol
_atom_site_fract_x
_atom_site_fract_y
_atom_site_fract_z
Co1 Co 0.0000 0.0000 0.0000
Bi1 Bi 0.3333 0.6667 0.2500
Pt1 Pt 0.3333 0.6667 0.7500

***

# CoBiPt | the Open Quantum Materials Database | PBE | optimized geometry
# **Relative energy among the computed polymorphs**: 184 meV/atom
data_CoBiPt
_chemical_formula_sum 'Co3 Bi3 Pt3'
_cell_length_a 6.8117
_cell_length_b 6.8117
_cell_length_c 3.9474
_cell_angle_alpha 90.00
_cell_angle_beta 90.00
_cell_angle_gamma 120.00
_space_group_name_H-M_alt 'P -6 2 m'
_space_group_IT_number 189
_space_group_name_Hall 'P -6 -2'
loop_
_atom_site_label
_atom_site_type_symbol
_atom_site_fract_x
_atom_site_fract_y
_atom_site_fract_z
Co1 Co 0.0000 0.2545 0.0000
Bi1 Bi 0.0000 0.0000 0.5000
Bi2 Bi 0.3333 0.6667 0.0000
Pt1 Pt 0.0000 0.5921 0.5000